# PBE-GGA TiBe3Co4, optimized geometry
# **Raw total energy**: -6.31 eV/atom
# **DOS(E_F)**: 5.06 states/eV per cell
# **E_form**: -0.37 eV per atom
data_TiBe3Co4
_chemical_formula_sum 'Ti1 Be3 Co4'
_symmetry_space_group_name_H-M 'P 4/m m m'
_symmetry_Int_Tables_number 123
_symmetry_space_group_name_Hall '-P 4 2'
_cell_length_a 3.7956
_cell_length_b 3.7956
_cell_length_c 5.4418
_cell_angle_alpha 90.00
_cell_angle_beta 90.00
_cell_angle_gamma 90.00
loop_
_atom_site_label
_atom_site_fract_x
_atom_site_fract_y
_atom_site_fract_z
Ti1 0.0000 0.0000 0.0000
Be1 0.0000 0.0000 0.5000
Be2 0.5000 0.5000 0.0000
Be3 0.5000 0.5000 0.5000
Co1 0.0000 0.5000 0.2704

---

# PBE-GGA Na5Zn2Sn10, optimized geometry
# **Raw total energy**: -3.05 eV/atom
# **DOS(E_F)**: 17.42 states/eV per cell
# **E_form**: -0.16 eV per atom
data_Na5Zn2Sn10
_chemical_formula_sum 'Na20 Zn8 Sn40'
_symmetry_space_group_name_H-M 'P b c n'
_symmetry_Int_Tables_number 60
_cell_length_a 13.0918
_cell_length_b 10.9010
_cell_length_c 13.0748
_cell_angle_alpha 90.00
_cell_angle_beta 90.00
_cell_angle_gamma 90.00
loop_
_symmetry_equiv_pos_as_xyz
'x,y,z'
'-x,-y,-z'
'-x+1/2,-y+1/2,z+1/2'
'x+1/2,y+1/2,-z+1/2'
'x+1/2,-y+1/2,-z'
'-x+1/2,y+1/2,z'
'-x,y,-z+1/2'
'x,-y,z+1/2'
loop_
_atom_site_label
_atom_site_fract_x
_atom_site_fract_y
_atom_site_fract_z
Na1 0.0000 0.2488 0.2500
Na2 0.1364 0.4626 0.0959
Na3 0.1593 0.0517 0.3940
Zn1 0.1606 0.3583 0.4102
Sn1 0.0081 0.2522 0.5224
Sn2 0.0814 0.0613 0.6643
Sn3 0.0846 0.4235 0.8307
Sn4 0.1841 0.1563 0.0654
Sn5 0.2274 0.2358 0.7535

---

# PBE-GGA LiFeRe, optimized geometry
# **Raw total energy**: -7.33 eV/atom
# **DOS(E_F)**: 9.85 states/eV per cell
# **E_form**: 0.28 eV per atom
# **Polymorph energy (0 for the lowest one)**: 0.0458 eV/atom
data_LiFeRe
_chemical_formula_sum 'Li4 Fe4 Re4'
_symmetry_space_group_name_H-M 'F m m 2'
_symmetry_Int_Tables_number 42
_symmetry_space_group_name_Hall 'F 2 -2'
_cell_length_a 2.9257
_cell_length_b 4.2999
_cell_length_c 13.3067
_cell_angle_alpha 90.00
_cell_angle_beta 90.00
_cell_angle_gamma 90.00
loop_
_atom_site_label
_atom_site_fract_x
_atom_site_fract_y
_atom_site_fract_z
Li1 0.0000 0.0000 0.0000
Fe1 0.0000 0.0000 0.6691
Re1 0.0000 0.0000 0.3237

---

# PBE-GGA SmHo5Sc3, optimized geometry
# **Raw total energy**: -4.71 eV/atom
# **DOS(E_F)**: 52.39 states/eV per cell
# **E_form**: 0.47 eV per atom
data_SmHo5Sc3
_chemical_formula_sum 'Sm4 Ho20 Sc12'
_symmetry_space_group_name_H-M 'C 1 2/m 1'
_symmetry_Int_Tables_number 12
_cell_length_a 14.5459
_cell_length_b 11.1161
_cell_length_c 9.5592
_cell_angle_alpha 90.00
_cell_angle_beta 129.83
_cell_angle_gamma 90.00
loop_
_symmetry_equiv_pos_as_xyz
'x,y,z'
'-x,-y,-z'
'-x,y,-z'
'x,-y,z'
'x+1/2,y+1/2,z'
'-x+1/2,-y+1/2,-z'
'-x+1/2,y+1/2,-z'
'x+1/2,-y+1/2,z'
loop_
_atom_site_label
_atom_site_fract_x
_atom_site_fract_y
_atom_site_fract_z
Sm1 0.2462 0.0000 0.0918
Ho1 0.0000 0.2427 0.5000
Ho2 0.1354 0.2479 0.2429
Ho3 0.2191 0.5000 0.5360
Ho4 0.2234 0.0000 0.7315
Sc1 0.0000 0.0000 0.0000
Sc2 0.0000 0.5000 0.5000
Sc3 0.0101 0.0000 0.3180
Sc4 0.0196 0.5000 0.8640

---

# PBE-GGA ZrTaIn2, optimized geometry
# **Raw total energy**: -6.50 eV/atom
# **DOS(E_F)**: 1.81 states/eV per cell
# **E_form**: -0.03 eV per atom
# **Polymorph energy (0 for the lowest one)**: 0.0028 eV/atom
data_ZrTaIn2
_chemical_formula_sum 'Zr1 Ta1 In2'
_symmetry_space_group_name_H-M 'P 4/m m m'
_symmetry_Int_Tables_number 123
_symmetry_space_group_name_Hall '-P 4 2'
_cell_length_a 3.0301
_cell_length_b 3.0301
_cell_length_c 9.0539
_cell_angle_alpha 90.00
_cell_angle_beta 90.00
_cell_angle_gamma 90.00
loop_
_atom_site_label
_atom_site_fract_x
_atom_site_fract_y
_atom_site_fract_z
Zr1 0.0000 0.0000 0.0000
Ta1 0.0000 0.0000 0.5000
In1 0.5000 0.5000 0.2585

---

# PBE-GGA LiMgZr2, optimized geometry
# **Raw total energy**: -4.93 eV/atom
# **DOS(E_F)**: 4.60 states/eV per cell
# **E_form**: 0.22 eV per atom
data_LiMgZr2
_chemical_formula_sum 'Li1 Mg1 Zr2'
_symmetry_space_group_name_H-M 'P m m m'
_symmetry_Int_Tables_number 47
_cell_length_a 3.2073
_cell_length_b 4.6003
_cell_length_c 5.7541
_cell_angle_alpha 90.00
_cell_angle_beta 90.00
_cell_angle_gamma 90.00
loop_
_symmetry_equiv_pos_as_xyz
'x,y,z'
'-x,-y,-z'
'-x,-y,z'
'x,y,-z'
'x,-y,-z'
'-x,y,z'
'-x,y,-z'
'x,-y,z'
loop_
_atom_site_label
_atom_site_fract_x
_atom_site_fract_y
_atom_site_fract_z
Li1 0.0000 0.0000 0.0000
Mg1 0.0000 0.0000 0.5000
Zr1 0.5000 0.5000 0.2489

---

What did the sixth record say?
# PBE-GGA LiMgZr2, optimized geometry
# **Raw total energy**: -4.93 eV/atom
# **DOS(E_F)**: 4.60 states/eV per cell
# **E_form**: 0.22 eV per atom
data_LiMgZr2
_chemical_formula_sum 'Li1 Mg1 Zr2'
_symmetry_space_group_name_H-M 'P m m m'
_symmetry_Int_Tables_number 47
_cell_length_a 3.2073
_cell_length_b 4.6003
_cell_length_c 5.7541
_cell_angle_alpha 90.00
_cell_angle_beta 90.00
_cell_angle_gamma 90.00
loop_
_symmetry_equiv_pos_as_xyz
'x,y,z'
'-x,-y,-z'
'-x,-y,z'
'x,y,-z'
'x,-y,-z'
'-x,y,z'
'-x,y,-z'
'x,-y,z'
loop_
_atom_site_label
_atom_site_fract_x
_atom_site_fract_y
_atom_site_fract_z
Li1 0.0000 0.0000 0.0000
Mg1 0.0000 0.0000 0.5000
Zr1 0.5000 0.5000 0.2489